Record 1
Zr2BeCo2 after structural relaxation. Source: Alexandria via LeMat-Bulk, functional PBE.

energy above the most stable polymorph in this dataset = 0.000 eV/atom
crystal system = orthorhombic

Unit cell a=3.672 b=5.194 c=7.772 alpha=90.00 beta=90.00 gamma=90.00
Sites, in units of the cell vectors:
1 Zr 0.000 0.000 0.201
2 Zr 0.000 0.000 0.799
3 Zr 0.500 0.500 0.299
4 Zr 0.500 0.500 0.701
5 Be 0.000 0.500 0.000
6 Be 0.500 0.000 0.500
7 Co 0.000 0.256 0.500
8 Co 0.000 0.744 0.500
9 Co 0.500 0.244 0.000
10 Co 0.500 0.756 0.000


Record 2
ZrBeCo2 after structural relaxation. Source: Alexandria via LeMat-Bulk, functional PBE.

crystal system = orthorhombic
energy = -53.84 eV/cell

Unit cell a=3.459 b=3.655 c=8.048 alpha=90.00 beta=90.00 gamma=90.00
Sites, in units of the cell vectors:
1 Zr 0.000 0.000 0.000
2 Zr 0.500 0.500 0.500
3 Be 0.000 0.500 0.755
4 Be 0.500 0.000 0.255
5 Co 0.000 0.000 0.495
6 Co 0.000 0.500 0.247
7 Co 0.500 0.000 0.747
8 Co 0.500 0.500 0.995


Record 3
ZrBeCo2 after structural relaxation. Source: Alexandria via LeMat-Bulk, functional PBE.

crystal system = monoclinic
energy = -26.54 eV/cell

Unit cell a=2.857 b=3.917 c=4.787 alpha=90.00 beta=103.54 gamma=90.00
Sites, in units of the cell vectors:
1 Zr 0.000 0.000 0.000
2 Be 0.612 0.500 0.276
3 Co 0.249 0.500 0.661
4 Co 0.595 0.000 0.486


Record 4
Zr2BeCo after structural relaxation. Source: Alexandria via LeMat-Bulk, functional PBE.

crystal system = tetragonal
energy = -28.66 eV/cell

Unit cell a=3.209 b=3.209 c=6.222 alpha=90.00 beta=90.00 gamma=90.00
Sites, in units of the cell vectors:
1 Zr 0.000 0.000 0.250
2 Zr 0.000 0.000 0.750
3 Be 0.500 0.500 0.000
4 Co 0.500 0.500 0.500


Record 5
Zr2BeCo2 after structural relaxation. Source: Alexandria via LeMat-Bulk, functional PBE.

energy above the most stable polymorph in this dataset = 0.030 eV/atom
crystal system = monoclinic

Unit cell a=5.174 b=5.174 c=6.512 alpha=103.75 beta=103.75 gamma=61.63
Sites, in units of the cell vectors:
1 Zr 0.029 0.279 0.154
2 Zr 0.279 0.029 0.654
3 Zr 0.721 0.971 0.346
4 Zr 0.971 0.721 0.846
5 Be 0.335 0.665 0.250
6 Be 0.665 0.335 0.750
7 Co 0.252 0.506 0.507
8 Co 0.494 0.748 0.993
9 Co 0.506 0.252 0.007
10 Co 0.748 0.494 0.493


Record 6
ZrBe2Co after structural relaxation. Source: Alexandria via LeMat-Bulk, functional PBE.

energy above the most stable polymorph in this dataset = 0.000 eV/atom
crystal system = orthorhombic

Unit cell a=5.906 b=3.690 c=9.167 alpha=90.00 beta=90.00 gamma=90.00
Sites, in units of the cell vectors:
1 Zr 0.200 0.250 0.137
2 Zr 0.300 0.750 0.637
3 Zr 0.700 0.250 0.363
4 Zr 0.800 0.750 0.863
5 Be 0.131 0.250 0.826
6 Be 0.224 0.250 0.426
7 Be 0.276 0.750 0.926
8 Be 0.369 0.750 0.326
9 Be 0.631 0.250 0.674
10 Be 0.724 0.250 0.074
11 Be 0.776 0.750 0.574
12 Be 0.869 0.750 0.174
13 Co 0.022 0.750 0.396
14 Co 0.478 0.250 0.896
15 Co 0.522 0.750 0.104
16 Co 0.978 0.250 0.604


no.,spin magnetization (μB per cell),calculated density (g/cm³)
1,0.00,6.93
2,0.95,7.12
3,1.53,6.95
4,0.04,6.49
5,0.00,6.97
6,0.00,5.59